A plane-wave DFT calculation with PBE was carried out for crystalline Ac2DyY4 at its relaxed geometry.

Properties
N(E_F) = 11.0 states/eV/cell
Formation enthalpy at 0 K = 0.108 eV per atom
Size of the total moment = 0.000 μB per atom
E = -5.417 eV/atom

Unit cell a=13.694 b=13.694 c=3.676 alpha=90.00 beta=90.00 gamma=158.54
Element x y z (fractional)
Ac (0.203, 0.797, 0.000)
Ac (0.797, 0.203, 0.000)
Dy (0.500, 0.500, 0.500)
Y (0.066, 0.934, 0.000)
Y (0.370, 0.630, 0.500)
Y (0.630, 0.370, 0.500)
Y (0.934, 0.066, 0.000)

***

A plane-wave DFT calculation with PBE was carried out for crystalline La6RhAu2Br3 at its relaxed geometry.

Properties
N(E_F) = 12.0 states/eV/cell
Size of the total moment = 0.000 μB per atom
E = -5.126 eV/atom

Unit cell a=10.140 b=10.140 c=9.262 alpha=108.05 beta=108.05 gamma=24.60
Element x y z (fractional)
La (0.006, 0.006, 0.218)
La (0.326, 0.326, 0.428)
La (0.351, 0.351, 0.906)
La (0.649, 0.649, 0.094)
La (0.674, 0.674, 0.572)
La (0.994, 0.994, 0.782)
Rh (0.500, 0.500, 0.000)
Au (0.167, 0.167, 0.336)
Au (0.833, 0.833, 0.664)
Br (0.170, 0.170, 0.834)
Br (0.500, 0.500, 0.500)
Br (0.830, 0.830, 0.166)

***

A plane-wave DFT calculation with PBE was carried out for crystalline ZrAu2Se at its relaxed geometry.

Properties
N(E_F) = 0.7 states/eV/cell
Size of the total moment = 0.000 μB per atom
E = -5.151 eV/atom

Unit cell a=3.763 b=3.763 c=7.723 alpha=90.00 beta=90.00 gamma=120.00
Element x y z (fractional)
Zr (0.000, 0.000, 0.000)
Au (0.333, 0.667, 0.453)
Au (0.667, 0.333, 0.223)
Se (0.333, 0.667, 0.789)

***

A plane-wave DFT calculation with PBE was carried out for crystalline LaTb2Tm2 at its relaxed geometry.

Properties
N(E_F) = 15.1 states/eV/cell
Energy relative to the lowest polymorph listed for this composition = 1.09 eV per formula unit
Formation enthalpy at 0 K = 0.249 eV per atom
Size of the total moment = 0.000 μB per atom
E = -4.377 eV/atom

Unit cell a=6.391 b=6.391 c=8.789 alpha=103.83 beta=103.83 gamma=95.72
Element x y z (fractional)
La (0.198, 0.802, 0.750)
La (0.802, 0.198, 0.250)
Tb (0.000, 0.500, 0.000)
Tb (0.500, 0.000, 0.500)
Tb (0.500, 0.500, 0.000)
Tb (0.500, 0.500, 0.500)
Tm (0.064, 0.249, 0.637)
Tm (0.249, 0.064, 0.137)
Tm (0.751, 0.936, 0.863)
Tm (0.936, 0.751, 0.363)